DFT (PBE-GGA) results for an optimized crystal structure of GdYH2Cl4.

Calculated values
Energy in eV per atom: -4.93

```
8
Lattice="3.768 0.000 0.000 -1.884 3.263 0.000 0.000 0.000 13.234" Properties=species:S:1:pos:R:3 pbc="T T T"
Gd 0.000 0.000 0.000
Y 0.000 0.000 6.617
H 0.000 2.175 6.617
H 1.884 1.088 0.000
Cl 0.000 2.175 1.762
Cl 0.000 2.175 11.472
Cl 1.884 1.088 4.867
Cl 1.884 1.088 8.367
```